No. 1
Below is Ag2PdAu2 after structural relaxation, with properties calculated at the PBE level.

The energy relative to the lowest polymorph listed for this composition is 0.0 meV per atom. Its space group is P-1. Its formation energy is -0.06 eV/atom. For the total magnetic moment, the calculation gives 0.00 μB per atom.

Geometry as CIF:
```
data_Ag2PdAu2
_chemical_formula_sum 'Ag4 Pd2 Au4'
_symmetry_space_group_name_H-M 'P 1'
_symmetry_Int_Tables_number 1
_cell_length_a 5.016
_cell_length_b 5.601
_cell_length_c 6.926
_cell_angle_alpha 105.40
_cell_angle_beta 111.01
_cell_angle_gamma 90.25
loop_
_symmetry_equiv_pos_as_xyz
'x,y,z'
loop_
_atom_site_label
_atom_site_fract_x
_atom_site_fract_y
_atom_site_fract_z
Ag1 0.086 0.253 0.001
Ag2 0.284 0.651 0.401
Ag3 0.716 0.349 0.599
Ag4 0.914 0.747 0.999
Pd1 0.318 0.553 0.803
Pd2 0.682 0.447 0.197
Au1 0.115 0.160 0.403
Au2 0.483 0.056 0.803
Au3 0.517 0.944 0.197
Au4 0.885 0.840 0.597
```

No. 2
Below is AgPd5Au2 after structural relaxation, with properties calculated at the PBE level.

The energy relative to the lowest polymorph listed for this composition is 21.4 meV per atom. Its space group is Pbam. Its formation energy is -0.02 eV/atom. For the total magnetic moment, the calculation gives 0.00 μB per atom.

Geometry as CIF:
```
data_AgPd5Au2
_chemical_formula_sum 'Ag4 Pd20 Au8'
_symmetry_space_group_name_H-M 'P 1'
_symmetry_Int_Tables_number 1
_cell_length_a 9.337
_cell_length_b 9.841
_cell_length_c 5.692
_cell_angle_alpha 90.00
_cell_angle_beta 90.00
_cell_angle_gamma 90.00
loop_
_symmetry_equiv_pos_as_xyz
'x,y,z'
loop_
_atom_site_label
_atom_site_fract_x
_atom_site_fract_y
_atom_site_fract_z
Ag1 0.248 0.085 0.000
Ag2 0.252 0.585 0.000
Ag3 0.748 0.415 0.000
Ag4 0.752 0.915 0.000
Pd1 0.000 0.000 0.250
Pd2 0.000 0.000 0.750
Pd3 0.000 0.248 0.500
Pd4 0.000 0.752 0.500
Pd5 0.001 0.248 0.000
Pd6 0.248 0.834 0.250
Pd7 0.248 0.834 0.750
Pd8 0.252 0.334 0.250
Pd9 0.252 0.334 0.750
Pd10 0.499 0.748 0.000
Pd11 0.500 0.252 0.500
Pd12 0.500 0.500 0.250
Pd13 0.500 0.500 0.750
Pd14 0.500 0.748 0.500
Pd15 0.501 0.252 0.000
Pd16 0.748 0.666 0.250
Pd17 0.748 0.666 0.750
Pd18 0.752 0.166 0.250
Pd19 0.752 0.166 0.750
Pd20 0.999 0.752 0.000
Au1 0.000 0.500 0.250
Au2 0.000 0.500 0.750
Au3 0.246 0.086 0.500
Au4 0.254 0.586 0.500
Au5 0.500 0.000 0.250
Au6 0.500 0.000 0.750
Au7 0.746 0.414 0.500
Au8 0.754 0.914 0.500
```

No. 3
Below is AgPd6Au after structural relaxation, with properties calculated at the PBE level.

The energy relative to the lowest polymorph listed for this composition is 10.6 meV per atom. Its space group is C2/m. Its formation energy is -0.02 eV/atom. For the total magnetic moment, the calculation gives 0.00 μB per atom.

Geometry as CIF:
```
data_AgPd6Au
_chemical_formula_sum 'Ag2 Pd12 Au2'
_symmetry_space_group_name_H-M 'P 1'
_symmetry_Int_Tables_number 1
_cell_length_a 8.985
_cell_length_b 3.983
_cell_length_c 7.985
_cell_angle_alpha 90.00
_cell_angle_beta 116.47
_cell_angle_gamma 90.00
loop_
_symmetry_equiv_pos_as_xyz
'x,y,z'
loop_
_atom_site_label
_atom_site_fract_x
_atom_site_fract_y
_atom_site_fract_z
Ag1 0.000 0.000 0.000
Ag2 0.500 0.500 0.000
Pd1 0.000 0.500 0.249
Pd2 0.000 0.500 0.751
Pd3 0.250 0.000 0.375
Pd4 0.250 0.000 0.875
Pd5 0.250 0.500 0.125
Pd6 0.250 0.500 0.625
Pd7 0.500 0.000 0.249
Pd8 0.500 0.000 0.751
Pd9 0.750 0.000 0.125
Pd10 0.750 0.000 0.625
Pd11 0.750 0.500 0.375
Pd12 0.750 0.500 0.875
Au1 0.000 0.000 0.500
Au2 0.500 0.500 0.500
```

No. 4
Below is Ag3PdAu7 after structural relaxation, with properties calculated at the PBE level.

Its space group is P3m1. Its formation energy is 0.00 eV/atom. For the total magnetic moment, the calculation gives 0.00 μB per atom.

Geometry as CIF:
```
data_Ag3PdAu7
_chemical_formula_sum 'Ag3 Pd1 Au7'
_symmetry_space_group_name_H-M 'P 1'
_symmetry_Int_Tables_number 1
_cell_length_a 5.704
_cell_length_b 5.704
_cell_length_c 7.324
_cell_angle_alpha 90.00
_cell_angle_beta 90.00
_cell_angle_gamma 120.00
loop_
_symmetry_equiv_pos_as_xyz
'x,y,z'
loop_
_atom_site_label
_atom_site_fract_x
_atom_site_fract_y
_atom_site_fract_z
Ag1 0.003 0.501 0.000
Ag2 0.499 0.501 0.000
Ag3 0.499 0.997 0.000
Pd1 0.333 0.667 0.675
Au1 0.166 0.332 0.332
Au2 0.166 0.834 0.332
Au3 0.331 0.165 0.679
Au4 0.667 0.333 0.324
Au5 0.668 0.834 0.332
Au6 0.835 0.165 0.679
Au7 0.835 0.669 0.679
```

No. 5
Below is Ag2Pd8Au3 after structural relaxation, with properties calculated at the PBE level.

The energy relative to the lowest polymorph listed for this composition is 0.0 meV per atom. Its space group is P2/m. Its formation energy is 0.05 eV/atom. For the total magnetic moment, the calculation gives 0.00 μB per atom.

Geometry as CIF:
```
data_Ag2Pd8Au3
_chemical_formula_sum 'Ag2 Pd8 Au3'
_symmetry_space_group_name_H-M 'P 1'
_symmetry_Int_Tables_number 1
_cell_length_a 9.210
_cell_length_b 2.775
_cell_length_c 9.582
_cell_angle_alpha 90.00
_cell_angle_beta 117.23
_cell_angle_gamma 90.00
loop_
_symmetry_equiv_pos_as_xyz
'x,y,z'
loop_
_atom_site_label
_atom_site_fract_x
_atom_site_fract_y
_atom_site_fract_z
Ag1 0.040 0.000 0.377
Ag2 0.960 0.000 0.623
Pd1 0.128 0.000 0.143
Pd2 0.181 0.500 0.903
Pd3 0.278 0.000 0.689
Pd4 0.334 0.500 0.461
Pd5 0.666 0.500 0.539
Pd6 0.722 0.000 0.311
Pd7 0.819 0.500 0.097
Pd8 0.872 0.000 0.857
Au1 0.422 0.500 0.225
Au2 0.500 0.000 0.000
Au3 0.578 0.500 0.775
```

No. 6
Below is Ag5PdAu5 after structural relaxation, with properties calculated at the PBE level.

Its space group is P-6m2. Its formation energy is 0.34 eV/atom. For the total magnetic moment, the calculation gives 0.00 μB per atom.

Geometry as CIF:
```
data_Ag5PdAu5
_chemical_formula_sum 'Ag5 Pd1 Au5'
_symmetry_space_group_name_H-M 'P 1'
_symmetry_Int_Tables_number 1
_cell_length_a 5.120
_cell_length_b 5.120
_cell_length_c 9.909
_cell_angle_alpha 90.00
_cell_angle_beta 90.00
_cell_angle_gamma 120.00
loop_
_symmetry_equiv_pos_as_xyz
'x,y,z'
loop_
_atom_site_label
_atom_site_fract_x
_atom_site_fract_y
_atom_site_fract_z
Ag1 0.000 0.000 0.238
Ag2 0.000 0.000 0.762
Ag3 0.335 0.168 0.000
Ag4 0.832 0.168 0.000
Ag5 0.832 0.665 0.000
Pd1 0.333 0.667 0.500
Au1 0.000 0.000 0.500
Au2 0.333 0.667 0.214
Au3 0.333 0.667 0.786
Au4 0.667 0.333 0.265
Au5 0.667 0.333 0.735
```

No. 7
Below is AgPd4Au5 after structural relaxation, with properties calculated at the PBE level.

Its space group is P4/mmm. Its formation energy is -0.06 eV/atom. For the total magnetic moment, the calculation gives 0.00 μB per atom.

Geometry as CIF:
```
data_AgPd4Au5
_chemical_formula_sum 'Ag1 Pd4 Au5'
_symmetry_space_group_name_H-M 'P 1'
_symmetry_Int_Tables_number 1
_cell_length_a 3.258
_cell_length_b 3.258
_cell_length_c 16.058
_cell_angle_alpha 90.00
_cell_angle_beta 90.00
_cell_angle_gamma 90.00
loop_
_symmetry_equiv_pos_as_xyz
'x,y,z'
loop_
_atom_site_label
_atom_site_fract_x
_atom_site_fract_y
_atom_site_fract_z
Ag1 0.000 0.000 0.000
Pd1 0.000 0.000 0.204
Pd2 0.000 0.000 0.401
Pd3 0.000 0.000 0.599
Pd4 0.000 0.000 0.796
Au1 0.500 0.500 0.106
Au2 0.500 0.500 0.303
Au3 0.500 0.500 0.500
Au4 0.500 0.500 0.697
Au5 0.500 0.500 0.894
```

No. 8
Below is Ag3Pd2Au7 after structural relaxation, with properties calculated at the PBE level.

The energy relative to the lowest polymorph listed for this composition is 0.0 meV per atom. Its space group is P2/m. Its formation energy is 0.03 eV/atom. For the total magnetic moment, the calculation gives 0.00 μB per atom.

Geometry as CIF:
```
data_Ag3Pd2Au7
_chemical_formula_sum 'Ag3 Pd2 Au7'
_symmetry_space_group_name_H-M 'P 1'
_symmetry_Int_Tables_number 1
_cell_length_a 4.734
_cell_length_b 2.850
_cell_length_c 16.334
_cell_angle_alpha 90.00
_cell_angle_beta 91.88
_cell_angle_gamma 90.00
loop_
_symmetry_equiv_pos_as_xyz
'x,y,z'
loop_
_atom_site_label
_atom_site_fract_x
_atom_site_fract_y
_atom_site_fract_z
Ag1 0.000 0.000 0.000
Ag2 0.268 0.500 0.628
Ag3 0.732 0.500 0.372
Pd1 0.220 0.000 0.295
Pd2 0.780 0.000 0.705
Au1 0.202 0.500 0.145
Au2 0.245 0.000 0.458
Au3 0.289 0.000 0.795
Au4 0.500 0.500 0.000
Au5 0.711 0.000 0.205
Au6 0.755 0.000 0.542
Au7 0.798 0.500 0.855
```

No. 9
Below is Ag8PdAu3 after structural relaxation, with properties calculated at the PBE level.

The energy relative to the lowest polymorph listed for this composition is 0.0 meV per atom. Its space group is P2/m. Its formation energy is -0.04 eV/atom. For the total magnetic moment, the calculation gives 0.00 μB per atom.

Geometry as CIF:
```
data_Ag8PdAu3
_chemical_formula_sum 'Ag8 Pd1 Au3'
_symmetry_space_group_name_H-M 'P 1'
_symmetry_Int_Tables_number 1
_cell_length_a 5.085
_cell_length_b 5.816
_cell_length_c 7.165
_cell_angle_alpha 90.00
_cell_angle_beta 90.50
_cell_angle_gamma 90.00
loop_
_symmetry_equiv_pos_as_xyz
'x,y,z'
loop_
_atom_site_label
_atom_site_fract_x
_atom_site_fract_y
_atom_site_fract_z
Ag1 0.000 0.248 0.000
Ag2 0.000 0.752 0.000
Ag3 0.169 0.000 0.668
Ag4 0.334 0.248 0.331
Ag5 0.334 0.752 0.331
Ag6 0.666 0.248 0.669
Ag7 0.666 0.752 0.669
Ag8 0.831 0.000 0.332
Pd1 0.500 0.000 0.000
Au1 0.166 0.500 0.665
Au2 0.500 0.500 0.000
Au3 0.834 0.500 0.335
```

No. 10
Below is Ag2PdAu4 after structural relaxation, with properties calculated at the PBE level.

The energy relative to the lowest polymorph listed for this composition is 586.8 meV per atom. Its space group is I4/mmm. Its formation energy is 0.58 eV/atom. For the total magnetic moment, the calculation gives 0.00 μB per atom.

Geometry as CIF:
```
data_Ag2PdAu4
_chemical_formula_sum 'Ag4 Pd2 Au8'
_symmetry_space_group_name_H-M 'P 1'
_symmetry_Int_Tables_number 1
_cell_length_a 5.068
_cell_length_b 5.068
_cell_length_c 13.423
_cell_angle_alpha 90.00
_cell_angle_beta 90.00
_cell_angle_gamma 90.00
loop_
_symmetry_equiv_pos_as_xyz
'x,y,z'
loop_
_atom_site_label
_atom_site_fract_x
_atom_site_fract_y
_atom_site_fract_z
Ag1 0.000 0.000 0.105
Ag2 0.000 0.000 0.895
Ag3 0.500 0.500 0.395
Ag4 0.500 0.500 0.605
Pd1 0.000 0.000 0.500
Pd2 0.500 0.500 0.000
Au1 0.000 0.000 0.306
Au2 0.000 0.000 0.694
Au3 0.000 0.500 0.000
Au4 0.000 0.500 0.500
Au5 0.500 0.000 0.000
Au6 0.500 0.000 0.500
Au7 0.500 0.500 0.194
Au8 0.500 0.500 0.806
```

- total magnetic moment of number 4 (Ag3PdAu7)?
  0.00 μB per atom